# Zr3CoH6 GGA-PBE relaxed
# **Total DFT energy (no corrections)**: -5.587 eV/atom
# **M_tot**: 0.06 μB per atom
data_Zr3CoH6
_cell_length_a 8.1575
_cell_length_b 8.1575
_cell_length_c 9.9686
_cell_angle_alpha 90.00
_cell_angle_beta 90.00
_cell_angle_gamma 120.00
_symmetry_space_group_name_H-M 'R -3'
_symmetry_Int_Tables_number 148
_symmetry_space_group_name_Hall '-R 3'
loop_
_atom_site_label
_atom_site_fract_x
_atom_site_fract_y
_atom_site_fract_z
Zr1 0.0149 0.7607 0.2359
Co1 0.0000 0.0000 0.0000
Co2 0.0000 0.0000 0.5000
H1 0.0057 0.8534 0.8787
H2 0.0323 0.8194 0.4363